Computed, not measured: crystalline Sm2HoTl4 at its relaxed geometry at the PBE level of DFT.

a b c (Å): 7.366 7.366 7.988
angles (deg): 90.00 90.00 90.00
Fractional coordinates of all 14 atoms:
Sm (0.000, 0.500, 0.000)
Sm (0.000, 0.500, 0.500)
Sm (0.500, 0.000, 0.000)
Sm (0.500, 0.000, 0.500)
Ho (0.000, 0.000, 0.000)
Ho (0.500, 0.500, 0.500)
Tl (0.250, 0.250, 0.250)
Tl (0.250, 0.250, 0.750)
Tl (0.250, 0.750, 0.250)
Tl (0.250, 0.750, 0.750)
Tl (0.750, 0.250, 0.250)
Tl (0.750, 0.250, 0.750)
Tl (0.750, 0.750, 0.250)
Tl (0.750, 0.750, 0.750)

Output
Its space-group type is No. 139. The formation energy is -22.1 kJ per mole of atoms. The calculation puts the energy above the most stable polymorph in this dataset at 0 meV/atom.

Computed, not measured: crystalline TlHgS2N at its relaxed geometry at the PBE level of DFT.

a b c (Å): 5.253 5.253 4.294
angles (deg): 90.00 90.00 90.00
Fractional coordinates of all 5 atoms:
Tl (0.000, 0.000, 0.000)
Hg (0.500, 0.500, 0.500)
S (0.000, 0.500, 0.500)
S (0.500, 0.000, 0.500)
N (0.500, 0.500, 0.000)

Output
Its space-group type is No. 123. For the formation energy (no corrections), the calculation gives 5.30 eV per formula unit. The calculation puts the energy above the most stable polymorph in this dataset at 0 meV/atom.

Computed, not measured: crystalline K2RbF3 at its relaxed geometry at the PBE level of DFT.

a b c (Å): 3.897 5.526 11.712
angles (deg): 90.00 90.00 90.00
Fractional coordinates of all 12 atoms:
K (0.000, 0.000, 0.168)
K (0.000, 0.000, 0.832)
K (0.500, 0.500, 0.332)
K (0.500, 0.500, 0.668)
Rb (0.000, 0.000, 0.500)
Rb (0.500, 0.500, 0.000)
F (0.000, 0.500, 0.175)
F (0.000, 0.500, 0.500)
F (0.000, 0.500, 0.825)
F (0.500, 0.000, 0.000)
F (0.500, 0.000, 0.325)
F (0.500, 0.000, 0.675)

Output
Its space-group type is No. 71. For the formation energy (no corrections), the calculation gives -16.22 eV per formula unit.

| no. | M_tot (μB per cell) |
| --- | --- |
| 1 | 0.1 |
| 2 | 2.9 |
| 3 | 0.5 |